Crystalline B5C at its relaxed geometry, computed with GGA-PBE.

* symmetry: P2/m (10)
* E_form: 0.49 eV/atom

a = 5.186 Å, b = 2.592 Å, c = 7.942 Å
α = 90.00°, β = 91.59°, γ = 90.00°
Fractional coordinates of all 12 atoms:
B  0.022  0.000  0.285
B  0.162  0.500  0.064
B  0.254  0.000  0.927
B  0.303  0.000  0.721
B  0.477  0.500  0.287
B  0.523  0.500  0.713
B  0.697  0.000  0.279
B  0.746  0.000  0.073
B  0.838  0.500  0.936
B  0.978  0.000  0.715
C  0.183  0.500  0.264
C  0.817  0.500  0.736